Entry from the Alexandria database: crystalline Li2HPb at its relaxed geometry (PBE-GGA).

Summary:
The value obtained for the total energy is -2.7767 eV/atom. As for the density of states at the Fermi level: 0.166 states/eV/atom. Its space group is No. 123. The value obtained for the calculated volume is 17.16 A^3/atom. Its crystal system is tetragonal.

a b c (Å): 3.0613 3.0613 7.3254
angles (deg): 90.00 90.00 90.00
With the nearest neighbours (Å) after each atom.
Fractional positions:
Li (0.0000, 0.0000, 0.1823)  4 H 2.54, 1 Li 2.67
Li (0.0000, 0.0000, 0.8177)  4 H 2.54, 1 Li 2.67
H (0.5000, 0.5000, 0.0000)  8 Li 2.54
Pb (0.5000, 0.5000, 0.5000)  4 Pb 3.06, 8 Li 3.18

---

Entry from the Alexandria database: crystalline K2YBe4 at its relaxed geometry (PBE-GGA).

Summary:
The value obtained for the total energy is -1.9955 eV/atom. As for the density of states at the Fermi level: 0.612 states/eV/atom. Its space group is No. 139. The value obtained for the calculated volume is 34.77 A^3/atom. The value obtained for the energy relative to the elements is 1371 meV per atom. Its crystal system is tetragonal.

a b c (Å): 9.3579 9.3579 9.3579
angles (deg): 146.90 146.90 47.51
With the nearest neighbours (Å) after each atom.
Fractional positions:
K (0.1324, 0.1324, 0.0000)  9 Be 3.50-3.80
K (0.8676, 0.8676, 0.0000)  9 Be 3.50-3.80
Y (0.5000, 0.5000, 0.0000)  6 Be 2.67-2.74
Be (0.0000, 0.5000, 0.5000)  2 Y 2.67
Be (0.3402, 0.3402, 0.0000)  1 Y 2.74
Be (0.5000, 0.0000, 0.5000)  2 Y 2.67
Be (0.6598, 0.6598, 0.0000)  1 Y 2.74

---

Entry from the Alexandria database: crystalline Dy8ZnHg2 at its relaxed geometry (PBE-GGA).

Summary:
The value obtained for the total energy is -3.7280 eV/atom. As for the density of states at the Fermi level: 0.851 states/eV/atom. Its space group is No. 12. The value obtained for the calculated volume is 28.14 A^3/atom. The value obtained for the energy relative to the elements is -210 meV per atom. Its crystal system is monoclinic.

a b c (Å): 9.3587 9.3587 6.8893
angles (deg): 105.12 105.12 32.21
With the nearest neighbours (Å) after each atom.
Fractional positions:
Dy (0.0226, 0.0226, 0.2744)  1 Hg 3.03, 2 Zn 3.11
Dy (0.1981, 0.1981, 0.8094)  1 Hg 2.95
Dy (0.3383, 0.3383, 0.5291)  3 Hg 2.96-3.18, 1 Zn 2.97
Dy (0.4092, 0.4092, 0.0458)  1 Zn 3.11, 2 Hg 3.38, 3 Dy 3.41-3.44
Dy (0.5908, 0.5908, 0.9542)  1 Zn 3.11, 2 Hg 3.38, 3 Dy 3.41-3.44
Dy (0.6617, 0.6617, 0.4709)  3 Hg 2.96-3.18, 1 Zn 2.97
Dy (0.8019, 0.8019, 0.1906)  1 Hg 2.95
Dy (0.9774, 0.9774, 0.7256)  1 Hg 3.03, 2 Zn 3.11
Zn (0.5000, 0.5000, 0.5000)  8 Dy 2.97-3.11
Hg (0.1853, 0.1853, 0.2273)  5 Dy 2.95-3.18
Hg (0.8147, 0.8147, 0.7727)  5 Dy 2.95-3.18

---

Entry from the Alexandria database: crystalline LaPmAs2 at its relaxed geometry (PBE-GGA).

Summary:
The value obtained for the total energy is -6.2934 eV/atom. As for the density of states at the Fermi level: 0.132 states/eV/atom. Its space group is No. 166. The value obtained for the calculated volume is 28.26 A^3/atom. The value obtained for the energy relative to the elements is -1549 meV per atom. Its crystal system is trigonal.

a b c (Å): 7.4582 7.4582 7.4582
angles (deg): 33.58 33.58 33.58
With the nearest neighbours (Å) after each atom.
Fractional positions:
La (0.0000, 0.0000, 0.0000)  6 As 3.07
Pm (0.5000, 0.5000, 0.5000)  6 As 3.02
As (0.2479, 0.2479, 0.2479)  3 Pm 3.02, 3 La 3.07
As (0.7521, 0.7521, 0.7521)  3 Pm 3.02, 3 La 3.07

---

Entry from the Alexandria database: crystalline La2MnNi12P3 at its relaxed geometry (PBE-GGA).

Summary:
The value obtained for the total energy is -5.9393 eV/atom. As for the density of states at the Fermi level: 0.601 states/eV/atom. Its space group is No. 166. The value obtained for the calculated volume is 15.77 A^3/atom. The value obtained for the energy relative to the elements is -126 meV per atom. Its crystal system is trigonal.

a b c (Å): 6.8978 6.8978 6.8978
angles (deg): 70.86 70.86 70.86
With the nearest neighbours (Å) after each atom.
Fractional positions:
La (0.1227, 0.1227, 0.1227)  3 Ni 2.60
La (0.8773, 0.8773, 0.8773)  3 Ni 2.60
Mn (0.5000, 0.5000, 0.5000)  6 Ni 2.33
Ni (0.1394, 0.6343, 0.6343)  1 P 2.09, 1 Mn 2.33
Ni (0.2226, 0.2226, 0.6437)  2 P 2.20
Ni (0.2226, 0.6437, 0.2226)  2 P 2.20
Ni (0.3563, 0.7774, 0.7774)  2 P 2.20
Ni (0.3657, 0.3657, 0.8606)  1 P 2.09, 1 Mn 2.33
Ni (0.3657, 0.8606, 0.3657)  1 P 2.09, 1 Mn 2.33
Ni (0.6343, 0.1394, 0.6343)  1 P 2.09, 1 Mn 2.33
Ni (0.6343, 0.6343, 0.1394)  1 P 2.09, 1 Mn 2.33
Ni (0.6437, 0.2226, 0.2226)  2 P 2.20
Ni (0.7774, 0.3563, 0.7774)  2 P 2.20
Ni (0.7774, 0.7774, 0.3563)  2 P 2.20
Ni (0.8606, 0.3657, 0.3657)  1 P 2.09, 1 Mn 2.33
P (0.0000, 0.5000, 0.5000)  6 Ni 2.09-2.20
P (0.5000, 0.0000, 0.5000)  6 Ni 2.09-2.20
P (0.5000, 0.5000, 0.0000)  6 Ni 2.09-2.20

---

Entry from the Alexandria database: crystalline PmTh2C2 at its relaxed geometry (PBE-GGA).

Summary:
The value obtained for the total energy is -7.8309 eV/atom. As for the density of states at the Fermi level: 0.684 states/eV/atom. Its space group is No. 166. The value obtained for the calculated volume is 21.95 A^3/atom. The value obtained for the energy relative to the elements is -223 meV per atom. Its crystal system is trigonal.

a b c (Å): 9.5461 9.5461 9.5461
angles (deg): 22.29 22.29 22.29
With the nearest neighbours (Å) after each atom.
Fractional positions:
Pm (0.0000, 0.0000, 0.0000)  6 C 2.72
Th (0.2275, 0.2275, 0.2275)  3 C 2.48
Th (0.7725, 0.7725, 0.7725)  3 C 2.48
C (0.3939, 0.3939, 0.3939)  3 Th 2.48, 3 Pm 2.72
C (0.6061, 0.6061, 0.6061)  3 Th 2.48, 3 Pm 2.72

---

Entry from the Alexandria database: crystalline Zn2InTc at its relaxed geometry (PBE-GGA).

Summary:
The value obtained for the total energy is -3.6997 eV/atom. As for the density of states at the Fermi level: 1.107 states/eV/atom. Its space group is No. 123. The value obtained for the calculated volume is 16.76 A^3/atom. The value obtained for the energy relative to the elements is 213 meV per atom. Its crystal system is tetragonal.

a b c (Å): 3.4145 3.4145 5.7505
angles (deg): 90.00 90.00 90.00
With the nearest neighbours (Å) after each atom.
Fractional positions:
Zn (0.0000, 0.0000, 0.2131)  1 Zn 2.45, 4 Tc 2.71
Zn (0.0000, 0.0000, 0.7869)  1 Zn 2.45, 4 Tc 2.71
In (0.5000, 0.5000, 0.5000)  2 Tc 2.88, 8 Zn 2.92
Tc (0.5000, 0.5000, 0.0000)  8 Zn 2.71, 2 In 2.88

---

Entry from the Alexandria database: crystalline Dy3TlTc at its relaxed geometry (PBE-GGA).

Summary:
The value obtained for the total energy is -5.4877 eV/atom. As for the density of states at the Fermi level: 0.841 states/eV/atom. Its space group is No. 69. The value obtained for the calculated volume is 26.17 A^3/atom. The value obtained for the energy relative to the elements is -180 meV per atom. Its crystal system is orthorhombic.

a b c (Å): 9.4483 8.7507 5.8925
angles (deg): 77.67 64.80 37.54
With the nearest neighbours (Å) after each atom.
Fractional positions:
Dy (0.1977, 0.5777, 0.4223)  2 Tc 2.84
Dy (0.2004, 0.2004, 0.7996)  4 Tc 3.05, 2 Dy 3.34
Dy (0.4223, 0.8023, 0.1977)  2 Tc 2.84
Dy (0.5777, 0.1977, 0.8023)  2 Tc 2.84
Dy (0.7996, 0.7996, 0.2004)  4 Tc 3.05, 2 Dy 3.34
Dy (0.8023, 0.4223, 0.5777)  2 Tc 2.84
Tl (0.2141, 0.7859, 0.7859)  1 Tl 2.84
Tl (0.7859, 0.2141, 0.2141)  1 Tl 2.84
Tc (0.2500, 0.2500, 0.2500)  8 Dy 2.84-3.05
Tc (0.7500, 0.7500, 0.7500)  8 Dy 2.84-3.05

---

Entry from the Alexandria database: crystalline NaMg2Hg at its relaxed geometry (PBE-GGA).

Summary:
The value obtained for the total energy is -1.2613 eV/atom. As for the density of states at the Fermi level: 0.477 states/eV/atom. Its space group is No. 123. The value obtained for the calculated volume is 24.15 A^3/atom. The value obtained for the energy relative to the elements is -59 meV per atom. Its crystal system is tetragonal.

a b c (Å): 3.7369 3.7369 6.9189
angles (deg): 90.00 90.00 90.00
With the nearest neighbours (Å) after each atom.
Fractional positions:
Na (0.0000, 0.0000, 0.0000)  8 Mg 3.27, 2 Hg 3.46
Mg (0.5000, 0.5000, 0.2789)  4 Hg 3.05, 1 Mg 3.06, 4 Na 3.27
Mg (0.5000, 0.5000, 0.7211)  4 Hg 3.05, 1 Mg 3.06, 4 Na 3.27
Hg (0.0000, 0.0000, 0.5000)  8 Mg 3.05

---

Entry from the Alexandria database: crystalline Mg2TeAs at its relaxed geometry (PBE-GGA).

Summary:
The value obtained for the total energy is -3.0735 eV/atom. As for the density of states at the Fermi level: 0.258 states/eV/atom. Its space group is No. 10. The value obtained for the calculated volume is 23.97 A^3/atom. Its crystal system is monoclinic.

a b c (Å): 4.0909 3.9401 6.1908
angles (deg): 90.00 106.07 90.00
With the nearest neighbours (Å) after each atom.
Fractional positions:
Mg (0.1972, 0.0000, 0.2671)  2 As 2.69
Mg (0.8028, 0.0000, 0.7329)  2 As 2.69
Te (0.5000, 0.5000, 0.0000)  4 Mg 3.05, 2 As 3.20
As (0.0000, 0.5000, 0.5000)  4 Mg 2.69

---

Entry from the Alexandria database: crystalline Zr2Tl at its relaxed geometry (PBE-GGA).

Summary:
The value obtained for the total energy is -6.2783 eV/atom. As for the density of states at the Fermi level: 1.524 states/eV/atom. Its space group is No. 71. The value obtained for the calculated volume is 24.30 A^3/atom. The value obtained for the energy relative to the elements is 209 meV per atom. Its crystal system is orthorhombic.

a b c (Å): 5.3913 5.3913 5.3913
angles (deg): 145.86 122.76 68.36
With the nearest neighbours (Å) after each atom.
Fractional positions:
Zr (0.1950, 0.1950, 0.0000)  4 Tl 3.11-3.15, 7 Zr 3.17-3.48
Zr (0.8050, 0.8050, 0.0000)  4 Tl 3.11-3.15, 7 Zr 3.17-3.48
Tl (0.5000, 0.0000, 0.5000)  8 Zr 3.11-3.15, 2 Tl 3.17

---

Entry from the Alexandria database: crystalline Er4Cu3Ru at its relaxed geometry (PBE-GGA).

Summary:
The value obtained for the total energy is -5.3145 eV/atom. As for the density of states at the Fermi level: 0.686 states/eV/atom. Its space group is No. 123. The value obtained for the calculated volume is 20.04 A^3/atom. The value obtained for the energy relative to the elements is -338 meV per atom. Its crystal system is tetragonal.

a b c (Å): 3.4031 3.4031 13.8408
angles (deg): 90.00 90.00 90.00
With the nearest neighbours (Å) after each atom.
Fractional positions:
Er (0.0000, 0.0000, 0.1194)  4 Ru 2.92, 4 Cu 3.01
Er (0.0000, 0.0000, 0.3729)  8 Cu 2.95-2.98
Er (0.0000, 0.0000, 0.6271)  8 Cu 2.95-2.98
Er (0.0000, 0.0000, 0.8806)  4 Ru 2.92, 4 Cu 3.01
Cu (0.5000, 0.5000, 0.2501)  8 Er 2.95-3.01
Cu (0.5000, 0.5000, 0.5000)  8 Er 2.98
Cu (0.5000, 0.5000, 0.7499)  8 Er 2.95-3.01
Ru (0.5000, 0.5000, 0.0000)  8 Er 2.92

---

Q: Which of these has the lowest density of states at the Fermi level?
A: LaPmAs2